Entry 1:
Compound: Mn2CuPtN
Source: the Alexandria database
Functional: PBE-GGA
Structure: relaxed

Cell: 3.9390 3.9390 3.9194 Å, 90.00 90.00 90.00°
Each line ends with the local moment (μB).
Fractional positions:
N (0.0000, 0.0000, 0.0000)  -0.07
Cu (0.0000, 0.0000, 0.5000)  0.06
Mn (0.5000, 0.0000, 0.0000)  3.20
Mn (0.0000, 0.5000, 0.0000)  3.20
Pt (0.5000, 0.5000, 0.5000)  0.27

## Properties
For the volume, the calculation gives 60.8 Å³/cell. The value obtained for the uncorrected formation energy is -0.194 eV per atom. The value obtained for the magnetization is 6.84 μB per cell.

=====

Entry 2:
Compound: Mn2CuRhN
Source: the Alexandria database
Functional: PBE-GGA
Structure: relaxed

Cell: 3.8821 3.8821 4.0432 Å, 90.00 90.00 90.00°
Each line ends with the local moment (μB).
Fractional positions:
Mn (0.5000, 0.0000, 0.0000)  3.03
Mn (0.0000, 0.5000, 0.0000)  3.03
Rh (0.0000, 0.0000, 0.5000)  0.07
N (0.0000, 0.0000, 0.0000)  -0.12
Cu (0.5000, 0.5000, 0.5000)  0.16

## Properties
For the volume, the calculation gives 60.9 Å³/cell. The value obtained for the uncorrected formation energy is -0.053 eV per atom. The value obtained for the magnetization is 6.22 μB per cell.